This record from the Alexandria database describes a relaxed Na7Cu12S10 crystal. The functional is PBE-GGA.

The structure in CIF format:
```
data_Na7Cu12S10
_chemical_formula_sum 'Na14 Cu24 S20'
_cell_length_a 16.235
_cell_length_b 3.786
_cell_length_c 16.284
_cell_angle_alpha 90.00
_cell_angle_beta 90.40
_cell_angle_gamma 90.00
_space_group_name_H-M_alt 'P 1 2/m 1'
_space_group_IT_number 10
_space_group_name_Hall '-P 2y'
loop_
_atom_site_label
_atom_site_fract_x
_atom_site_fract_y
_atom_site_fract_z
Na1 0.000 0.000 0.000
Na2 0.106 0.500 0.696
Na3 0.185 0.500 0.896
Na4 0.220 0.000 0.405
Na5 0.298 0.000 0.605
Na6 0.302 0.500 0.083
Na7 0.381 0.500 0.290
Na8 0.500 0.000 0.000
Cu1 0.009 0.000 0.419
Cu2 0.024 0.500 0.153
Cu3 0.052 0.000 0.267
Cu4 0.088 0.500 0.498
Cu5 0.149 0.000 0.135
Cu6 0.175 0.500 0.247
Cu7 0.313 0.000 0.804
Cu8 0.389 0.500 0.890
Cu9 0.412 0.500 0.722
Cu10 0.426 0.000 0.449
Cu11 0.453 0.500 0.566
Cu12 0.485 0.000 0.804
S1 0.056 0.000 0.825
S2 0.077 0.500 0.354
S3 0.126 0.500 0.058
S4 0.130 0.000 0.562
S5 0.256 0.000 0.232
S6 0.273 0.500 0.736
S7 0.326 0.000 0.945
S8 0.347 0.500 0.471
S9 0.470 0.500 0.136
S10 0.477 0.000 0.656
```

Calculated values
Formation energy (no corrections), meV per atom: -558
Calculated volume, A^3/atom: 17.26
Electronic total energy, eV/cell: -231.70
DOS at the Fermi energy, states/eV per cell: 11.5

***

This record from the Alexandria database describes a relaxed Na2Cu5S4 crystal. The functional is PBE-GGA.

The structure in CIF format:
```
data_Na2Cu5S4
_chemical_formula_sum 'Na8 Cu20 S16'
_cell_length_a 5.102
_cell_length_b 11.932
_cell_length_c 12.753
_cell_angle_alpha 90.00
_cell_angle_beta 90.00
_cell_angle_gamma 90.00
_space_group_name_H-M_alt 'F m m m'
_space_group_IT_number 69
_space_group_name_Hall '-F 2 2'
loop_
_atom_site_label
_atom_site_fract_x
_atom_site_fract_y
_atom_site_fract_z
Na1 0.000 0.000 0.163
Cu1 0.000 0.000 0.500
Cu2 0.250 0.250 0.000
Cu3 0.250 0.250 0.250
S1 0.000 0.144 0.371
```

Calculated values
Formation energy (no corrections), meV per atom: -299
Calculated volume, A^3/atom: 17.64
Electronic total energy, eV/cell: -171.67
DOS at the Fermi energy, states/eV per cell: 21.2

***

This record from the Alexandria database describes a relaxed Na2CuSbS3 crystal. The functional is PBE-GGA.

The structure in CIF format:
```
data_Na2CuSbS3
_chemical_formula_sum 'Na8 Cu4 Sb4 S12'
_cell_length_a 5.869
_cell_length_b 17.227
_cell_length_c 7.071
_cell_angle_alpha 90.00
_cell_angle_beta 116.98
_cell_angle_gamma 90.00
_space_group_name_H-M_alt 'P 1 21/c 1'
_space_group_IT_number 14
_space_group_name_Hall '-P 2ybc'
loop_
_atom_site_label
_atom_site_fract_x
_atom_site_fract_y
_atom_site_fract_z
Na1 0.070 0.114 0.116
Na2 0.343 0.038 0.691
Cu1 0.384 0.214 0.907
Sb1 0.245 0.673 0.016
S1 0.159 0.555 0.805
S2 0.211 0.197 0.550
S3 0.416 0.614 0.371
```

Calculated values
Formation energy (no corrections), meV per atom: -688
Calculated volume, A^3/atom: 22.75
Electronic total energy, eV/cell: -112.22

***

This record from the Alexandria database describes a relaxed NaCuSb2S4 crystal. The functional is PBE-GGA.

The structure in CIF format:
```
data_NaCuSb2S4
_chemical_formula_sum 'Na2 Cu2 Sb4 S8'
_cell_length_a 7.867
_cell_length_b 6.625
_cell_length_c 7.629
_cell_angle_alpha 90.00
_cell_angle_beta 90.00
_cell_angle_gamma 90.00
_space_group_name_H-M_alt 'P m n 21'
_space_group_IT_number 31
_space_group_name_Hall 'P 2ac -2'
loop_
_atom_site_label
_atom_site_fract_x
_atom_site_fract_y
_atom_site_fract_z
Na1 0.000 0.238 0.000
Cu1 0.000 0.752 0.514
Sb1 0.246 0.752 0.015
S1 0.000 0.064 0.669
S2 0.000 0.869 0.228
S3 0.225 0.578 0.640
```

Calculated values
Formation energy (no corrections), meV per atom: -367
Calculated volume, A^3/atom: 24.85
Electronic total energy, eV/cell: -66.21